No. 1
VASP calculation (PBE) on crystalline Tb2AlCo2 at its relaxed geometry.

Lattice parameters (Å, degrees): 5.3974 5.3974 5.3974 136.02 119.49 77.77
Closest atoms and distances in Å follow each position.
Fractional positions:
Tb 0.2040 0.2040 0.0000  6 Co 2.91, 4 Al 3.21
Tb 0.7960 0.7960 0.0000  6 Co 2.91, 4 Al 3.21
Al 0.5000 0.0000 0.5000  4 Co 2.52
Co 0.2227 0.5000 0.7227  1 Co 2.42, 2 Al 2.52
Co 0.7773 0.5000 0.2773  1 Co 2.42, 2 Al 2.52

Uncorrected energy = -29.1 eV/f.u.

***

No. 2
VASP calculation (PBE) on crystalline AlGaH6W at its relaxed geometry.

Lattice parameters (Å, degrees): 4.5031 4.5031 4.5031 60.00 60.00 60.00
Closest atoms and distances in Å follow each position.
Fractional positions:
Al 0.0000 0.0000 0.0000  12 H 2.26
Ga 0.7500 0.7500 0.7500  6 H 1.83
H 0.0378 0.0378 0.4622  1 Ga 1.83, 4 H 1.91
H 0.0378 0.4622 0.0378  1 Ga 1.83, 4 H 1.91
H 0.0378 0.4622 0.4622  1 Ga 1.83, 4 H 1.91
H 0.4622 0.0378 0.0378  1 Ga 1.83, 4 H 1.91
H 0.4622 0.0378 0.4622  1 Ga 1.83, 4 H 1.91
H 0.4622 0.4622 0.0378  1 Ga 1.83, 4 H 1.91
W 0.5000 0.5000 0.5000  12 H 2.26

Uncorrected energy = -33.3 eV/f.u.

***

No. 3
VASP calculation (PBE) on crystalline GaFeNiPd at its relaxed geometry.

Lattice parameters (Å, degrees): 4.1965 4.1965 4.1965 60.00 60.00 60.00
Closest atoms and distances in Å follow each position.
Fractional positions:
Ga 0.0000 0.0000 0.0000  4 Fe 2.57, 4 Pd 2.57
Fe 0.2500 0.2500 0.2500  4 Ni 2.57, 4 Ga 2.57
Ni 0.5000 0.5000 0.5000  4 Pd 2.57, 4 Fe 2.57
Pd 0.7500 0.7500 0.7500  4 Ga 2.57, 4 Ni 2.57

Polymorph energy (0 for the lowest one) = 25 meV/atom

***

No. 4
VASP calculation (PBE) on crystalline La2SmPt9 at its relaxed geometry.

Lattice parameters (Å, degrees): 9.5393 9.5393 9.5393 33.22 33.22 33.22
Closest atoms and distances in Å follow each position.
Fractional positions:
La 0.1392 0.1392 0.1392  12 Pt 3.11-3.37, 3 La 3.48
La 0.8608 0.8608 0.8608  12 Pt 3.11-3.37, 3 La 3.48
Sm 0.0000 0.0000 0.0000  6 Pt 3.15
Pt 0.0810 0.5849 0.5849  7 Pt 2.71-2.77
Pt 0.3328 0.3328 0.3328  6 Pt 2.73-2.77
Pt 0.4151 0.4151 0.9190  7 Pt 2.71-2.77
Pt 0.4151 0.9190 0.4151  7 Pt 2.71-2.77
Pt 0.5000 0.5000 0.5000  6 Pt 2.75
Pt 0.5849 0.0810 0.5849  7 Pt 2.71-2.77
Pt 0.5849 0.5849 0.0810  7 Pt 2.71-2.77
Pt 0.6672 0.6672 0.6672  6 Pt 2.73-2.77
Pt 0.9190 0.4151 0.4151  7 Pt 2.71-2.77

Formation energy from the elements = -0.92 eV/atom

***

No. 5
VASP calculation (PBE) on crystalline InAgSeO at its relaxed geometry.

Lattice parameters (Å, degrees): 4.0605 7.0847 6.1512 90.00 90.00 90.00
Closest atoms and distances in Å follow each position.
Fractional positions:
In 0.0000 0.1347 0.0000  2 O 2.08-2.09
In 0.0000 0.8653 0.5000  2 O 2.08-2.09
Ag 0.5000 0.2928 0.5636  2 O 2.43, 2 Se 2.65-2.69
Ag 0.5000 0.7072 0.0636  2 O 2.43, 2 Se 2.65-2.69
Se 0.5000 0.3326 0.1347  2 In 2.60, 2 Ag 2.65-2.69
Se 0.5000 0.6674 0.6347  2 In 2.60, 2 Ag 2.65-2.69
O 0.0000 0.1243 0.6613  2 In 2.08-2.09
O 0.0000 0.8757 0.1613  2 In 2.08-2.09

Polymorph energy (0 for the lowest one) = 35 meV/atom

***

No. 6
VASP calculation (PBE) on crystalline KLuNiSe3 at its relaxed geometry.

Lattice parameters (Å, degrees): 8.9992 3.9990 9.4806 90.00 108.59 90.00
Closest atoms and distances in Å follow each position.
Fractional positions:
K 0.2019 0.2500 0.2342  7 Se 3.29-3.53
K 0.7981 0.7500 0.7658  7 Se 3.29-3.53
Lu 0.3301 0.7500 0.8596  6 Se 2.77-2.90
Lu 0.6699 0.2500 0.1404  6 Se 2.77-2.90
Ni 0.0787 0.2500 0.5936  4 Se 2.36-2.41
Ni 0.9213 0.7500 0.4064  4 Se 2.36-2.41
Se 0.1123 0.2500 0.8562  1 Ni 2.41
Se 0.1921 0.7500 0.5382  3 Ni 2.36-2.38
Se 0.4617 0.7500 0.1671  3 Lu 2.77-2.81
Se 0.5383 0.2500 0.8329  3 Lu 2.77-2.81
Se 0.8079 0.2500 0.4618  3 Ni 2.36-2.38
Se 0.8877 0.7500 0.1438  1 Ni 2.41

Uncorrected energy = -28.8 eV/f.u.

***

No. 7
VASP calculation (PBE) on crystalline NdNiGe2Pd at its relaxed geometry.

Lattice parameters (Å, degrees): 4.2482 4.2482 9.8923 90.00 90.00 90.00
Closest atoms and distances in Å follow each position.
Fractional positions:
Nd 0.2500 0.2500 0.2418  8 Ge 3.20, 5 Ni 3.25-3.54, 4 Pd 3.32
Nd 0.7500 0.7500 0.7582  8 Ge 3.20, 5 Ni 3.25-3.54, 4 Pd 3.32
Ni 0.2500 0.2500 0.8839  5 Ge 2.35-2.41
Ni 0.7500 0.7500 0.1161  5 Ge 2.35-2.41
Ge 0.2500 0.2500 0.6464  1 Ni 2.35, 4 Pd 2.57
Ge 0.2500 0.7500 0.0000  4 Ni 2.41
Ge 0.7500 0.2500 0.0000  4 Ni 2.41
Ge 0.7500 0.7500 0.3536  1 Ni 2.35, 4 Pd 2.57
Pd 0.2500 0.7500 0.5000  4 Ge 2.57
Pd 0.7500 0.2500 0.5000  4 Ge 2.57

Polymorph energy (0 for the lowest one) = 0 meV/atom

***

No. 8
VASP calculation (PBE) on crystalline PrB4Pd at its relaxed geometry.

Lattice parameters (Å, degrees): 5.1833 5.1833 5.1833 144.53 117.61 73.87
Closest atoms and distances in Å follow each position.
Fractional positions:
Pr 0.0000 0.0000 0.0000  12 B 2.74
B 0.0729 0.7462 0.3267  3 B 1.78-1.86
B 0.4196 0.7462 0.6733  3 B 1.78-1.86
B 0.5804 0.2538 0.3267  3 B 1.78-1.86
B 0.9271 0.2538 0.6733  3 B 1.78-1.86
Pd 0.5000 0.5000 0.0000  12 B 2.69-2.79

Polymorph energy (0 for the lowest one) = 7 meV/atom

***

No. 9
VASP calculation (PBE) on crystalline La5CuBi3 at its relaxed geometry.

Lattice parameters (Å, degrees): 9.8226 9.8226 6.7399 90.00 90.00 120.00
Closest atoms and distances in Å follow each position.
Fractional positions:
La 0.0000 0.2585 0.2500  2 Cu 3.05, 2 Bi 3.33
La 0.0000 0.7415 0.7500  2 Cu 3.05, 2 Bi 3.33
La 0.2585 0.0000 0.2500  2 Cu 3.05, 2 Bi 3.33
La 0.2585 0.2585 0.7500  2 Cu 3.05, 2 Bi 3.33
La 0.3333 0.6667 0.0000  2 La 3.37, 6 Bi 3.49
La 0.3333 0.6667 0.5000  2 La 3.37, 6 Bi 3.49
La 0.6667 0.3333 0.0000  2 La 3.37, 6 Bi 3.49
La 0.6667 0.3333 0.5000  2 La 3.37, 6 Bi 3.49
La 0.7415 0.0000 0.7500  2 Cu 3.05, 2 Bi 3.33
La 0.7415 0.7415 0.2500  2 Cu 3.05, 2 Bi 3.33
Cu 0.0000 0.0000 0.0000  6 La 3.05, 2 Cu 3.37
Cu 0.0000 0.0000 0.5000  6 La 3.05, 2 Cu 3.37
Bi 0.0000 0.3837 0.7500  9 La 3.33-3.59
Bi 0.0000 0.6163 0.2500  9 La 3.33-3.59
Bi 0.3837 0.0000 0.7500  9 La 3.33-3.59
Bi 0.3837 0.3837 0.2500  9 La 3.33-3.59
Bi 0.6163 0.0000 0.2500  9 La 3.33-3.59
Bi 0.6163 0.6163 0.7500  9 La 3.33-3.59

Uncorrected energy = -47.4 eV/f.u.

***

No. 10
VASP calculation (PBE) on crystalline Mg6HgAu at its relaxed geometry.

Lattice parameters (Å, degrees): 6.1758 6.1758 4.8653 90.00 90.00 120.00
Closest atoms and distances in Å follow each position.
Fractional positions:
Mg 0.0039 0.5020 0.0000  2 Hg 3.00, 8 Mg 3.04-3.12, 2 Au 3.09
Mg 0.3213 0.1606 0.5000  8 Mg 2.98-3.20, 2 Au 2.98, 2 Hg 3.09
Mg 0.4980 0.5020 0.0000  2 Hg 3.00, 8 Mg 3.04-3.12, 2 Au 3.09
Mg 0.4980 0.9961 0.0000  2 Hg 3.00, 8 Mg 3.04-3.12, 2 Au 3.09
Mg 0.8394 0.1606 0.5000  8 Mg 2.98-3.20, 2 Au 2.98, 2 Hg 3.09
Mg 0.8394 0.6787 0.5000  8 Mg 2.98-3.20, 2 Au 2.98, 2 Hg 3.09
Hg 0.3333 0.6667 0.5000  12 Mg 3.00-3.09
Au 0.0000 0.0000 0.0000  12 Mg 2.98-3.09

Uncorrected energy = -14.9 eV/f.u.

***

No. 11
VASP calculation (PBE) on crystalline Hf3Si5Au at its relaxed geometry.

Lattice parameters (Å, degrees): 5.7227 5.7227 6.6530 90.00 90.00 120.00
Closest atoms and distances in Å follow each position.
Fractional positions:
Hf 0.0000 0.5000 0.0000  6 Si 2.75-2.86, 4 Hf 2.86
Hf 0.5000 0.0000 0.0000  6 Si 2.75-2.86, 4 Hf 2.86
Hf 0.5000 0.5000 0.0000  6 Si 2.75-2.86, 4 Hf 2.86
Si 0.0000 0.0000 0.0000  6 Hf 2.86
Si 0.3333 0.6667 0.3302  1 Si 2.26
Si 0.3333 0.6667 0.6698  1 Si 2.26
Si 0.6667 0.3333 0.3302  1 Si 2.26
Si 0.6667 0.3333 0.6698  1 Si 2.26
Au 0.0000 0.0000 0.5000  14 Si 3.33-3.49

Uncorrected energy = -57.5 eV/f.u.

***

No. 12
VASP calculation (PBE) on crystalline TmTlSe2O8 at its relaxed geometry.

Lattice parameters (Å, degrees): 5.6344 5.6344 7.4718 90.00 90.00 120.00
Closest atoms and distances in Å follow each position.
Fractional positions:
Tm 0.0000 0.0000 0.0000  6 O 2.17
Tl 0.0000 0.0000 0.5000  12 O 2.93-3.26
Se 0.3333 0.6667 0.7376  4 O 1.64-1.67
Se 0.6667 0.3333 0.2624  4 O 1.64-1.67
O 0.1746 0.3491 0.8197  1 Se 1.67
O 0.1746 0.8254 0.8197  1 Se 1.67
O 0.3333 0.6667 0.5187  1 Se 1.64
O 0.3491 0.1746 0.1803  1 Se 1.67
O 0.6509 0.8254 0.8197  1 Se 1.67
O 0.6667 0.3333 0.4813  1 Se 1.64
O 0.8254 0.1746 0.1803  1 Se 1.67
O 0.8254 0.6509 0.1803  1 Se 1.67

Uncorrected energy = -69.8 eV/f.u.

***

Number 8 is which compound?
PrB4Pd